Entry 1:
Computed, not measured: a relaxed CsTa2SbO8 crystal at the GGA-PBE level of DFT.

a b c (Å): 5.6754 5.6754 8.8673
angles (deg): 90.00 90.00 120.00
Space group P-3 (No. 147)
Inequivalent atoms, fractional coordinates:
Cs1 0.0000 0.0000 0.0000 [1 per cell]
Ta1 0.3333 0.6667 0.6918 [2 per cell]
Sb1 0.0000 0.0000 0.5000 [1 per cell]
O1 0.0662 0.3102 0.6318 [6 per cell]
O2 0.3333 0.6667 0.8923 [2 per cell]

***

Entry 2:
Computed, not measured: a relaxed Cs3TbSb2O8 crystal at the GGA-PBE level of DFT.

a b c (Å): 6.3544 6.3544 8.6413
angles (deg): 90.00 90.00 120.00
Space group P-3m1 (No. 164)
Inequivalent atoms, fractional coordinates:
Cs1 0.0000 0.0000 0.0000 [1 per cell]
Cs2 0.3333 0.6667 0.7258 [2 per cell]
Tb1 0.0000 0.0000 0.5000 [1 per cell]
Sb1 0.3333 0.6667 0.2704 [2 per cell]
O1 0.1697 0.3395 0.3469 [6 per cell]
O2 0.3333 0.6667 0.0534 [2 per cell]

***

Entry 3:
Computed, not measured: a relaxed Cs3TbSb2O6 crystal at the GGA-PBE level of DFT.

a b c (Å): 6.3424 6.3424 7.9872
angles (deg): 90.00 90.00 120.00
Space group P-3m1 (No. 164)
Inequivalent atoms, fractional coordinates:
Cs1 0.0000 0.0000 0.0000 [1 per cell]
Cs2 0.3333 0.6667 0.6746 [2 per cell]
Tb1 0.0000 0.0000 0.5000 [1 per cell]
Sb1 0.3333 0.6667 0.2219 [2 per cell]
O1 0.1730 0.3460 0.3329 [6 per cell]

***

Entry 4:
Computed, not measured: a relaxed CsTc2SbO8 crystal at the GGA-PBE level of DFT.

a b c (Å): 5.5168 5.5168 28.5388
angles (deg): 90.00 90.00 120.00
Space group R32 (No. 155, hexagonal axes)
Inequivalent atoms, fractional coordinates:
Cs1 0.0000 0.0000 0.0000 [3 per cell]
Tc1 0.0000 0.0000 0.2395 [6 per cell]
Sb1 0.0000 0.0000 0.5000 [3 per cell]
O1 0.0000 0.0000 0.3010 [6 per cell]
O2 0.0067 0.3865 0.8839 [18 per cell]

***

Number 1: V 20.61 A^3/atom, formation energy without anion corrections -2.26 eV/atom. Number 2: V 21.58 A^3/atom, formation energy without anion corrections -1.88 eV/atom. Number 3: V 23.19 A^3/atom, formation energy without anion corrections -1.95 eV/atom. Number 4: V 20.89 A^3/atom, formation energy without anion corrections -1.38 eV/atom.